1.
A plane-wave DFT calculation with GGA-PBE was carried out for an optimized crystal structure of Gd2HoIn3Fe2Cu.

POSCAR file:
```
Gd2HoIn3Fe2Cu
1.0
3.9343 0.0000 0.0000
0.0000 6.4573 3.7319
0.0000 -6.4573 3.7319
In Cu Fe Gd Ho
3 1 2 2 1
direct
0.5000 0.9985 0.7429
0.5000 0.7429 0.9985
0.5000 0.2581 0.2581
0.0000 0.9991 0.9991
0.5000 0.6656 0.3342
0.5000 0.3342 0.6656
0.0000 0.4111 0.0001
0.0000 0.0001 0.4111
0.0000 0.5902 0.5902
```

uncorrected energy = -44.4 eV for the cell shown
crystal system = orthorhombic

2.
A plane-wave DFT calculation with GGA-PBE was carried out for an optimized crystal structure of CdAs6S8I4.

POSCAR file:
```
CdAs6S8I4
1.0
7.1688 0.0000 0.0000
-0.9590 8.8895 0.0000
-2.7647 -1.0596 8.4785
Cd S I As
1 8 4 6
direct
0.0000 0.0000 0.0000
0.0992 0.6626 0.3750
0.0873 0.0196 0.7217
0.3401 0.9259 0.1946
0.9008 0.3374 0.6250
0.9121 0.6869 0.9858
0.0879 0.3131 0.0142
0.6599 0.0741 0.8054
0.9127 0.9804 0.2783
0.3481 0.6717 0.8621
0.6385 0.7326 0.5362
0.6519 0.3283 0.1379
0.3615 0.2674 0.4638
0.8047 0.7133 0.2139
0.7681 0.0634 0.5824
0.1953 0.2867 0.7861
0.7653 0.3360 0.8681
0.2347 0.6640 0.1319
0.2319 0.9366 0.4176
```

uncorrected energy = -71.9 eV for the cell shown
crystal system = triclinic

3.
A plane-wave DFT calculation with GGA-PBE was carried out for an optimized crystal structure of CsEr2CuS4.

POSCAR file:
```
CsEr2CuS4
1.0
1.9911 -6.9950 0.0000
1.9911 6.9950 0.0000
0.0000 0.0000 13.7563
S Er Cs Cu
8 4 2 2
direct
0.7453 0.2547 0.1044
0.0000 0.0000 0.5000
0.0000 0.0000 0.0000
0.5809 0.4191 0.7500
0.7453 0.2547 0.3956
0.2547 0.7453 0.8956
0.2547 0.7453 0.6044
0.4191 0.5809 0.2500
0.6337 0.3663 0.5615
0.6337 0.3663 0.9385
0.3663 0.6337 0.0615
0.3663 0.6337 0.4385
0.8927 0.1073 0.7500
0.1073 0.8927 0.2500
0.1669 0.8331 0.7500
0.8331 0.1669 0.2500
```

uncorrected energy = -86.4 eV for the cell shown
crystal system = orthorhombic

4.
A plane-wave DFT calculation with GGA-PBE was carried out for an optimized crystal structure of Li2SnAu.

POSCAR file:
```
Li2SnAu
1.0
-1.2735 -3.2421 3.0014
1.3816 0.2502 4.3784
-3.0286 0.9963 3.3131
Au Li Sn
1 2 1
direct
0.2500 0.2500 0.2500
0.7500 0.7500 0.7500
0.0000 0.0000 0.0000
0.5000 0.5000 0.5000
```

uncorrected energy = -13.2 eV for the cell shown
crystal system = cubic

5.
A plane-wave DFT calculation with GGA-PBE was carried out for an optimized crystal structure of NbCuSnMo.

POSCAR file:
```
NbCuSnMo
1.0
0.0000 3.2354 3.2354
3.2354 0.0000 3.2354
3.2354 3.2354 0.0000
Mo Nb Sn Cu
1 1 1 1
direct
0.2500 0.2500 0.2500
0.5000 0.5000 0.5000
0.0000 0.0000 0.0000
0.7500 0.7500 0.7500
```

uncorrected energy = -27.8 eV for the cell shown
E above lowest polymorph = 0.0 meV per atom
crystal system = cubic

6.
A plane-wave DFT calculation with GGA-PBE was carried out for an optimized crystal structure of NdIn4Ni.

POSCAR file:
```
NdIn4Ni
1.0
5.5739 0.0565 6.7332
-7.8250 1.9082 -3.3965
-2.5129 -6.5049 2.1348
Ni In Nd
2 8 2
direct
0.2269 0.7731 0.7500
0.7731 0.2269 0.2500
0.0750 0.9250 0.7500
0.3116 0.6884 0.0479
0.5000 0.5000 0.0000
0.3116 0.6884 0.4521
0.6884 0.3116 0.9521
0.5000 0.5000 0.5000
0.9250 0.0750 0.2500
0.6884 0.3116 0.5479
0.8822 0.1178 0.7500
0.1178 0.8822 0.2500
```

uncorrected energy = -46.9 eV for the cell shown
crystal system = orthorhombic

7.
A plane-wave DFT calculation with GGA-PBE was carried out for an optimized crystal structure of LaLuAsO.

POSCAR file:
```
LaLuAsO
1.0
-1.3922 3.2895 2.5873
-4.1580 -0.7778 -1.2486
-0.9803 -5.8475 6.9070
As O Lu La
2 2 2 2
direct
0.2500 0.2500 0.6879
0.7500 0.7500 0.3121
0.2500 0.7500 0.0000
0.7500 0.2500 0.0000
0.7500 0.2500 0.5000
0.2500 0.7500 0.5000
0.2500 0.2500 0.1146
0.7500 0.7500 0.8854
```

uncorrected energy = -54.3 eV for the cell shown
E above lowest polymorph = 78.9 meV per atom
crystal system = tetragonal

8.
A plane-wave DFT calculation with GGA-PBE was carried out for an optimized crystal structure of LaHo2Te3.

POSCAR file:
```
LaHo2Te3
1.0
-2.7237 -1.7342 -2.9597
1.4856 -2.4526 3.3111
-8.6024 3.0578 6.1248
Te Ho La
3 2 1
direct
0.6667 0.3333 0.8166
0.3333 0.6667 0.1834
0.0000 0.0000 0.5000
0.3333 0.6667 0.6613
0.6667 0.3333 0.3387
0.0000 0.0000 0.0000
```

uncorrected energy = -31.7 eV for the cell shown
crystal system = trigonal

9.
A plane-wave DFT calculation with GGA-PBE was carried out for an optimized crystal structure of SmPbAu.

POSCAR file:
```
SmPbAu
1.0
5.2869 0.0000 0.0000
-2.6434 4.5786 0.0000
0.0000 0.0000 6.3442
Au Sm Pb
2 2 2
direct
0.0000 0.0000 0.5000
0.0000 0.0000 0.0000
0.6667 0.3333 0.2500
0.3333 0.6667 0.7500
0.3333 0.6667 0.2500
0.6667 0.3333 0.7500
```

uncorrected energy = -25.6 eV for the cell shown
crystal system = hexagonal

10.
A plane-wave DFT calculation with GGA-PBE was carried out for an optimized crystal structure of Ac2Zn15Au2.

POSCAR file:
```
Ac2Zn15Au2
1.0
4.6267 2.6712 4.5455
-4.6267 2.6712 4.5455
0.0000 -5.3425 4.5455
Zn Ac Au
15 2 2
direct
0.0000 0.5000 0.0000
0.0000 0.7158 0.2842
0.1609 0.6545 0.6545
0.0000 0.0000 0.5000
0.8391 0.3455 0.3455
0.0000 0.2842 0.7158
0.6545 0.1609 0.6545
0.7158 0.0000 0.2842
0.6545 0.6545 0.1609
0.7158 0.2842 0.0000
0.3455 0.3455 0.8391
0.3455 0.8391 0.3455
0.5000 0.0000 0.0000
0.2842 0.7158 0.0000
0.2842 0.0000 0.7158
0.3413 0.3413 0.3413
0.6587 0.6587 0.6587
0.8913 0.8913 0.8913
0.1087 0.1087 0.1087
```

uncorrected energy = -39.1 eV for the cell shown
energy of formation = -0.2813 eV per atom
crystal system = trigonal

11.
A plane-wave DFT calculation with GGA-PBE was carried out for an optimized crystal structure of SrLiMgAu2.

POSCAR file:
```
SrLiMgAu2
1.0
-2.1321 2.1321 6.3367
2.1321 -2.1321 6.3367
2.1321 2.1321 -6.3367
Mg Li Au Sr
1 1 2 1
direct
0.7500 0.2500 0.5000
0.2500 0.7500 0.5000
0.3863 0.3863 0.0000
0.6137 0.6137 0.0000
0.0000 0.0000 0.0000
```

uncorrected energy = -14.8 eV for the cell shown
crystal system = tetragonal

12.
A plane-wave DFT calculation with GGA-PBE was carried out for an optimized crystal structure of DyHoSn2Pt4.

POSCAR file:
```
DyHoSn2Pt4
1.0
4.5560 0.0000 0.0000
-2.2780 3.9456 0.0000
0.0000 0.0000 9.0763
Pt Ho Sn Dy
4 1 2 1
direct
0.3333 0.6667 0.8398
0.3333 0.6667 0.1602
0.0000 0.0000 0.6590
0.0000 0.0000 0.3410
0.3333 0.6667 0.5000
0.6667 0.3333 0.2504
0.6667 0.3333 0.7496
0.0000 0.0000 0.0000
```

uncorrected energy = -49.5 eV for the cell shown
crystal system = hexagonal